The following is a PBE calculation of a geometry-optimized ErHg3Pb structure, from the Alexandria database.

a b c (Å): 5.659 6.325 8.546
angles (deg): 111.72 90.00 90.00
Fractional positions:
Er: 0.750 0.180 0.360
Er: 0.250 0.820 0.640
Hg: 0.750 0.599 0.682
Hg: 0.750 0.082 0.682
Hg: 0.250 0.918 0.318
Hg: 0.250 0.401 0.318
Hg: 0.000 0.000 0.000
Hg: 0.500 0.000 0.000
Pb: 0.750 0.632 0.265
Pb: 0.250 0.368 0.735

Relative energy among the computed polymorphs: 0 meV/atom
SG: Cmcm
Energy of formation: -162 meV per atom